Crystalline Tl12In7Sn at its relaxed geometry, computed with PBE.

POSCAR file:
```
Tl12In7Sn
1.0
8.6048 0.3392 0.5092
-2.0668 8.3598 0.5092
-2.0668 -2.7499 7.9109
Tl In Sn
12 7 1
direct
0.3392 0.0819 0.3367
0.6633 0.6608 0.9181
0.2391 0.5017 0.7613
0.2387 0.7609 0.4983
0.3367 0.3392 0.0819
0.7609 0.4983 0.2387
0.4983 0.2387 0.7609
0.0819 0.3367 0.3392
0.5017 0.7613 0.2391
0.6608 0.9181 0.6633
0.9181 0.6633 0.6608
0.7613 0.2391 0.5017
0.5000 0.5000 0.5000
0.0927 0.6776 0.0906
0.9073 0.3224 0.9094
0.9094 0.9073 0.3224
0.0906 0.0927 0.6776
0.3224 0.9094 0.9073
0.6776 0.0906 0.0927
0.0000 0.0000 0.0000
```

Summary:
total DFT energy (no corrections)	-51.09	eV/cell
energy of formation from the pure elements	45.8	kJ/mol of formula units
offset from the most stable computed form	0.0	meV/atom
calculated volume	29.90	A^3/atom

=====

Crystalline Er2PtN at its relaxed geometry, computed with PBE.

POSCAR file:
```
Er2PtN
1.0
3.5230 0.0000 0.0000
1.7615 3.0510 0.0000
1.7615 1.0170 6.7800
Pt Er N
1 2 1
direct
0.0000 0.0000 0.0000
0.7660 0.7660 0.7019
0.2340 0.2340 0.2981
0.5000 0.5000 0.5000
```

Summary:
ΔE_f (raw)	-1.269	eV/atom
total DFT energy (no corrections)	-28.57	eV/cell
calculated volume	18.22	A^3/atom

=====

Crystalline Rb4SClF at its relaxed geometry, computed with PBE.

POSCAR file:
```
Rb4SClF
1.0
-0.6051 7.3235 -3.1573
-3.0554 2.4796 6.3370
8.3301 -0.7161 4.2965
Cl Rb S F
2 8 2 2
direct
0.2676 0.2500 0.0643
0.7324 0.7500 0.9357
0.0079 0.9968 0.2729
0.4610 0.7500 0.1384
0.9921 0.4968 0.7271
0.5390 0.2500 0.8616
0.5442 0.2500 0.4202
0.0079 0.5032 0.2729
0.4558 0.7500 0.5798
0.9921 0.0032 0.7271
0.2218 0.2500 0.5601
0.7782 0.7500 0.4399
0.2454 0.7500 0.2948
0.7546 0.2500 0.7052
```

Summary:
ΔE_f (raw)	-1.652	eV/atom
total DFT energy (no corrections)	-46.56	eV/cell
calculated volume	37.99	A^3/atom

=====

Crystalline Er6MnSi2S14 at its relaxed geometry, computed with PBE.

POSCAR file:
```
Er6MnSi2S14
1.0
9.5532 0.0000 0.0000
-4.7766 8.2733 0.0000
0.0000 0.0000 5.9077
Er Si S Mn
6 2 14 1
direct
0.7896 0.1466 0.2248
0.2130 0.8529 0.7313
0.1471 0.3601 0.7313
0.3570 0.2104 0.2248
0.6399 0.7870 0.7313
0.8534 0.6430 0.2248
0.3333 0.6667 0.1547
0.6667 0.3333 0.6416
0.5280 0.0985 0.4943
0.1000 0.2349 0.3220
0.0980 0.5721 0.0087
0.7651 0.8651 0.3220
0.3333 0.6667 0.5161
0.8996 0.7562 0.7868
0.6667 0.3333 0.0042
0.2438 0.1433 0.7868
0.4741 0.9020 0.0087
0.4279 0.5259 0.0087
0.1349 0.9000 0.3220
0.9015 0.4294 0.4943
0.8567 0.1004 0.7868
0.5706 0.4720 0.4943
0.0000 0.0000 0.5633
```

Summary:
ΔE_f (raw)	-1.544	eV/atom
total DFT energy (no corrections)	-140.69	eV/cell
calculated volume	20.30	A^3/atom

=====

Crystalline SrMoW at its relaxed geometry, computed with PBE.

POSCAR file:
```
SrMoW
1.0
4.9472 0.0000 0.0000
-2.4736 4.2844 0.0000
0.0000 0.0000 2.8257
Sr Mo W
1 1 1
direct
0.6667 0.3333 0.3259
0.0000 0.0000 0.9616
0.3333 0.6667 0.7125
```

Summary:
total DFT energy (no corrections)	-21.90	eV/cell
energy of formation from the pure elements	344.3	kJ/mol of formula units
offset from the most stable computed form	443.0	meV/atom
calculated volume	19.96	A^3/atom

=====

Crystalline TaVCrMo at its relaxed geometry, computed with PBE.

POSCAR file:
```
TaVCrMo
1.0
-2.3682 -3.2021 -1.8114
1.6792 -2.3870 -3.2597
1.0878 -4.1820 0.6864
Mo Ta Cr V
1 1 1 1
direct
0.0000 0.0000 0.0000
0.2500 0.2500 0.2500
0.5000 0.5000 0.5000
0.7500 0.7500 0.7500
```

Summary:
total DFT energy (no corrections)	-41.63	eV/cell
energy of formation from the pure elements	-19.7	kJ/mol of formula units
calculated volume	14.81	A^3/atom

=====

Crystalline RbBaV2Br at its relaxed geometry, computed with PBE.

POSCAR file:
```
RbBaV2Br
1.0
-4.9821 0.6343 3.7461
-3.8294 -1.2228 -4.8859
0.2342 -6.1146 1.3468
Rb V Ba Br
1 2 1 1
direct
0.5000 0.5000 0.5000
0.5000 0.0000 0.0000
0.0000 0.0000 0.5000
0.0000 0.0000 0.0000
0.0000 0.5000 0.0000
```

Summary:
ΔE_f (raw)	1.013	eV/atom
total DFT energy (no corrections)	-17.74	eV/cell
calculated volume	49.68	A^3/atom

=====

Crystalline NaC4N3 at its relaxed geometry, computed with PBE.

POSCAR file:
```
NaC4N3
1.0
-3.8371 0.1323 0.0085
0.9817 7.7871 -0.0181
-0.0936 -2.4834 -8.9892
N C Na
6 8 2
direct
0.7625 0.0887 0.8754
0.3390 0.3684 0.1769
0.7847 0.1912 0.4233
0.2153 0.8088 0.5767
0.2375 0.9113 0.1246
0.6610 0.6316 0.8231
0.7502 0.1853 0.7984
0.7347 0.3009 0.7079
0.6939 0.4804 0.7718
0.2498 0.8147 0.2016
0.7619 0.2392 0.5525
0.3061 0.5196 0.2282
0.2653 0.6991 0.2921
0.2381 0.7608 0.4475
0.2129 0.8512 0.8416
0.7871 0.1488 0.1584
```

Summary:
ΔE_f (raw)	0.133	eV/atom
total DFT energy (no corrections)	-124.25	eV/cell
calculated volume	16.87	A^3/atom

=====

Crystalline Sr2AlSnSb at its relaxed geometry, computed with PBE.

POSCAR file:
```
Sr2AlSnSb
1.0
-0.3268 2.5352 -5.6452
3.6928 -3.8350 -1.9361
-4.6880 -3.7916 -1.4313
Sr Sb Sn Al
2 1 1 1
direct
0.5000 0.0000 0.0000
0.0000 0.0000 0.5000
0.0000 0.0000 0.0000
0.0000 0.5000 0.0000
0.5000 0.5000 0.5000
```

Summary:
ΔE_f (raw)	0.126	eV/atom
total DFT energy (no corrections)	-14.60	eV/cell
calculated volume	43.51	A^3/atom

=====

Crystalline ZnCd2Si at its relaxed geometry, computed with PBE.

POSCAR file:
```
ZnCd2Si
1.0
-1.2482 3.7523 -10.7909
-2.1658 1.0955 -11.2334
-3.9777 3.0943 -10.3288
Si Cd Zn
1 2 1
direct
0.2500 0.2500 0.2500
0.5016 0.5016 0.5016
0.9984 0.9984 0.9984
0.7500 0.7500 0.7500
```

Summary:
ΔE_f (raw)	0.251	eV/atom
total DFT energy (no corrections)	-7.52	eV/cell
offset from the most stable computed form	29.0	meV/atom
calculated volume	19.94	A^3/atom

=====

Crystalline ErSiOs at its relaxed geometry, computed with PBE.

POSCAR file:
```
ErSiOs
1.0
-3.2680 0.5471 1.2596
-1.5867 -0.4940 -3.9021
0.4238 -3.3567 2.5576
Er Os Si
1 1 1
direct
0.6666 0.6667 0.3333
0.1667 0.3333 0.6667
0.1667 0.0000 0.0000
```

Summary:
ΔE_f (raw)	-0.528	eV/atom
total DFT energy (no corrections)	-22.80	eV/cell
calculated volume	18.41	A^3/atom

=====

Crystalline ZrNi2RuI at its relaxed geometry, computed with PBE.

POSCAR file:
```
ZrNi2RuI
1.0
4.4732 0.0000 0.0000
0.0000 4.8567 0.0000
0.0000 0.0000 4.4732
Zr Ru Ni I
1 1 2 1
direct
0.5000 0.5000 0.5000
0.0000 0.5000 0.0000
0.0000 0.0000 0.5000
0.5000 0.0000 0.0000
0.0000 0.0000 0.0000
```

Summary:
ΔE_f (raw)	1.040	eV/atom
total DFT energy (no corrections)	-25.74	eV/cell
offset from the most stable computed form	60.1	meV/atom
calculated volume	19.44	A^3/atom

=====

Question: What is the total DFT energy (no corrections) in the seventh record?
Answer: -17.74 eV/cell

=====

Question: Among the records above, which one has the highest calculated volume?
Answer: RbBaV2Br